## Sc2TaCo2 (GGA-PBEsol)

Data for a relaxed Sc2TaCo2 crystal.

Its formation energy is -4.71 kcal/mol of atoms. The value obtained for the theoretical density is 7.9 g/cm³.

The structure belongs to space group P4/mbm (No. 127); the cell edges are 6.192, 6.192 and 4.240 Å and the angles 90.00°, 90.00° and 90.00°. The asymmetric unit holds Sc at (0.179, 0.321, 0.000), Ta at (0.000, 0.000, 0.500) and Co at (0.127, 0.627, 0.500).